Here is crystalline GaAg2RuSe at its relaxed geometry from Alexandria. Energies are from PBE-GGA.

The calculation puts the electronic total energy at -3.5103 eV per atom. The value obtained for the raw formation energy is 0.788 eV/atom. Its volume is 21.62 Å³/atom. As for the symmetry: P4/mmm.

Structure (extended XYZ):
```
5
Lattice="-0.7998 1.3585 -4.5419 0.7477 -4.3845 -1.4431 -4.6779 -0.9730 0.5327" Properties=species:S:1:pos:R:3 pbc="T T T"
Se -2.3650 -1.9995 -2.7261
Ru 0.3738 -2.1922 -0.7216
Ga 0.0000 0.0000 0.0000
Ag -0.3999 0.6793 -2.2709
Ag -2.3390 -0.4865 0.2663
```

Here is crystalline SrGa2AgRu at its relaxed geometry from Alexandria. Energies are from PBE-GGA.

The calculation puts the electronic total energy at -4.1838 eV per atom. Its volume is 24.04 Å³/atom. Its formation energy is -0.211 eV per atom. As for the symmetry: P4/mmm.

Structure (extended XYZ):
```
5
Lattice="-2.0970 3.4234 2.5403 -3.9724 -0.5419 -2.5489 -1.7342 -3.6425 3.4771" Properties=species:S:1:pos:R:3 pbc="T T T"
Sr -3.9018 -0.3805 1.7343
Ru 0.0000 0.0000 0.0000
Ga -1.9862 -0.2709 -1.2744
Ga -1.0485 1.7117 1.2702
Ag -0.8671 -1.8213 1.7386
```

Here is crystalline Tb2Ga5AgRu2 at its relaxed geometry from Alexandria. Energies are from PBE-GGA.

The calculation puts the electronic total energy at -4.9470 eV per atom. Its volume is 18.66 Å³/atom. Its formation energy is -0.367 eV per atom. As for the symmetry: P4/mbm.

Structure (extended XYZ):
```
20
Lattice="-1.0457 3.0360 -2.5029 -8.4869 -4.1649 -1.5063 -3.6837 4.8306 7.3985" Properties=species:S:1:pos:R:3 pbc="T T T"
Ru -3.6963 -1.0577 0.2613
Ru -8.4743 1.7233 5.6309
Ru -8.9422 -1.8254 1.5217
Ru -3.2283 2.4911 4.3705
Ga -8.1575 0.6828 0.9252
Ga -3.9570 5.0822 4.5067
Ga -5.3163 1.0960 0.2393
Ga -10.6916 2.7584 4.5016
Ga -9.2592 -1.3805 -1.1173
Ga -5.0588 3.0189 2.4642
Ga -2.3647 3.9333 2.4478
Ga -4.7663 -0.5644 -2.0046
Ga -2.5246 0.9433 -1.1122
Ga -7.9000 2.6057 3.1501
Tb -2.7164 0.7775 2.0780
Tb -5.7112 2.6269 5.5726
Tb -9.4542 -0.1118 3.8143
Tb -6.4594 -1.9612 0.3197
Ag 0.0000 0.0000 0.0000
Ag -6.0853 0.3328 2.9461
```

Here is crystalline TmGaAgRu at its relaxed geometry from Alexandria. Energies are from PBE-GGA.

The calculation puts the electronic total energy at -5.1462 eV per atom. Its volume is 17.78 Å³/atom. Its formation energy is -0.240 eV per atom. As for the symmetry: F-43m.

Structure (extended XYZ):
```
4
Lattice="-3.8062 1.9841 -1.7890 -4.1610 -0.8089 1.9120 -2.1800 3.3764 2.3391" Properties=species:S:1:pos:R:3 pbc="T T T"
Tm -2.5368 1.1379 0.6155
Ag -5.0736 2.2758 1.2311
Ga -7.6103 3.4137 1.8466
Ru 0.0000 0.0000 0.0000
```

Here is crystalline Tm4GaAgRu2 at its relaxed geometry from Alexandria. Energies are from PBE-GGA.

The calculation puts the electronic total energy at -5.7338 eV per atom. Its volume is 20.55 Å³/atom. Its formation energy is -0.444 eV per atom. As for the symmetry: R-3m.

Structure (extended XYZ):
```
8
Lattice="-1.4445 -3.4304 -3.1493 0.0084 -4.6905 1.3311 -7.9799 -1.9714 2.0334" Properties=species:S:1:pos:R:3 pbc="T T T"
Tm -5.1711 -2.2468 1.0451
Tm -7.5154 -4.7708 1.0954
Tm -1.9007 -5.3214 -0.8802
Tm -4.2449 -7.8455 -0.8299
Ru -2.3718 -2.5213 0.0600
Ru -7.0443 -7.5709 0.1551
Ag 0.0000 0.0000 0.0000
Ga -4.7080 -5.0461 0.1076
```

Here is crystalline ZnGaAg2Ru at its relaxed geometry from Alexandria. Energies are from PBE-GGA.

The calculation puts the electronic total energy at -2.9519 eV per atom. Its volume is 24.77 Å³/atom. Its formation energy is 0.904 eV per atom. As for the symmetry: P4/mmm.

Structure (extended XYZ):
```
5
Lattice="-1.4902 1.4130 4.7230 3.5117 -2.4637 1.8451 3.0501 4.1406 -0.2764" Properties=species:S:1:pos:R:3 pbc="T T T"
Ag -0.7451 0.7065 2.3615
Ag 1.5250 2.0703 -0.1382
Zn 2.5358 1.5450 3.1459
Ru 0.0000 0.0000 0.0000
Ga 1.7559 -1.2318 0.9226
```

Q: electronic total energy of number 5 (Tm4GaAgRu2)?
A: -5.7338 eV per atom